[1]
TlP2Ir: relaxed, PBE-GGA.

polymorph energy (0 for the lowest one)	938	meV/atom
energy of formation	0.80	eV/atom

Lattice parameters (Å, degrees): 4.706 4.706 3.108 90.00 90.00 90.00
Element x y z (fractional)
Tl (0.500, 0.000, 0.500)
Ir (0.000, 0.500, 0.500)
P (0.000, 0.000, 0.000)
P (0.500, 0.500, 0.000)



[2]
Tl2PIr: relaxed, PBE-GGA.

polymorph energy (0 for the lowest one)	818	meV/atom
energy of formation	0.73	eV/atom

Lattice parameters (Å, degrees): 5.114 5.114 5.114 128.32 128.32 76.10
Element x y z (fractional)
Tl (0.000, 0.000, 0.000)
Tl (0.500, 0.500, 0.000)
Ir (0.250, 0.750, 0.500)
P (0.750, 0.250, 0.500)



[3]
TlP2Ir: relaxed, PBE-GGA.

polymorph energy (0 for the lowest one)	438	meV/atom
energy of formation	0.30	eV/atom

Lattice parameters (Å, degrees): 2.956 3.352 7.748 90.00 90.00 90.00
Element x y z (fractional)
Tl (0.000, 0.000, 0.527)
P (0.500, 0.500, 0.154)
P (0.000, 0.000, 0.978)
Ir (0.500, 0.500, 0.842)



[4]
Tl4PIr: relaxed, PBE-GGA.

energy of formation	1.08	eV/atom

Lattice parameters (Å, degrees): 6.091 6.091 6.091 60.00 60.00 60.00
Site moments in Bohr magnetons follow the coordinates.
Element x y z (fractional)
P (0.000, 0.000, 0.000)  0.13
Tl (0.375, 0.375, 0.875)  0.00
Tl (0.875, 0.375, 0.375)  0.00
Tl (0.375, 0.375, 0.375)  0.00
Ir (0.750, 0.750, 0.750)  0.89
Tl (0.375, 0.875, 0.375)  0.00



[5]
TlP2Ir: relaxed, PBE-GGA.

polymorph energy (0 for the lowest one)	30	meV/atom
energy of formation	-0.11	eV/atom

Lattice parameters (Å, degrees): 6.878 6.878 6.878 31.94 31.94 31.94
Element x y z (fractional)
Ir (0.750, 0.750, 0.750)
P (0.031, 0.031, 0.031)
P (0.469, 0.469, 0.469)
Tl (0.250, 0.250, 0.250)



[6]
TlP2Ir: relaxed, PBE-GGA.

polymorph energy (0 for the lowest one)	742	meV/atom
energy of formation	0.60	eV/atom

Lattice parameters (Å, degrees): 4.591 4.591 4.591 60.00 60.00 60.00
Element x y z (fractional)
P (0.250, 0.250, 0.250)
Tl (0.500, 0.500, 0.500)
Ir (0.000, 0.000, 0.000)
P (0.750, 0.750, 0.750)



no.,DFT total energy (eV per atom)
1,-4.7137
2,-4.0184
3,-5.2139
4,-2.8733
5,-5.6221
6,-4.9100